A plane-wave DFT calculation with GGA+U was carried out for a geometry-optimized Co2TeHO6 structure.

Cell and atoms, written as POSCAR:
```
Co2TeHO6
1.0
5.0675 0.0000 0.0000
2.5129 4.4292 0.0000
0.8487 1.6437 4.9246
Co Te H O
2 1 1 6
direct
0.0000 0.0000 0.0000
0.3308 0.4787 0.6216
0.6628 0.6830 0.9950
0.1700 0.2360 0.2426
0.3238 0.0617 0.7751
0.3350 0.6197 0.2199
0.6944 0.4127 0.7906
0.7071 0.8914 0.2126
0.9769 0.2396 0.2246
0.9781 0.7772 0.7829
```

## Properties
* final energy: -5.63 eV/atom
* spin magnetization: 3.1 μB per formula unit
* SG: P1